[1]
Material: TaMnHg2
Method: DFT, GGA-PBE
State: relaxed Values from VASP.

Cell and atoms, written as Quantum ESPRESSO input:
```
&SYSTEM
  ibrav = 0, nat = 4, ntyp = 3
/
ATOMIC_SPECIES
Ta 180.95 Ta.upf
Mn 54.94 Mn.upf
Hg 200.59 Hg.upf
ATOMIC_POSITIONS crystal
Ta 0.000 0.000 0.000
Mn 0.500 0.500 0.000
Hg 0.000 0.500 0.500
Hg 0.500 0.000 0.500
CELL_PARAMETERS angstrom
4.190 0.000 0.000
0.000 4.190 0.000
0.000 0.000 4.248
```

As for the crystal system: tetragonal. As for the raw total energy: -4.94 eV per atom. The calculation puts the formation energy at 0.46 eV/atom.



[2]
Material: Ta2MnHg
Method: DFT, GGA-PBE
State: relaxed Values from VASP.

Cell and atoms, written as Quantum ESPRESSO input:
```
&SYSTEM
  ibrav = 0, nat = 4, ntyp = 3
/
ATOMIC_SPECIES
Ta 180.95 Ta.upf
Mn 54.94 Mn.upf
Hg 200.59 Hg.upf
ATOMIC_POSITIONS crystal
Ta 0.237 0.237 0.237
Ta 0.763 0.763 0.763
Mn 0.500 0.500 0.500
Hg 0.000 0.000 0.000
CELL_PARAMETERS angstrom
1.531 0.884 8.622
-1.531 0.884 8.622
0.000 -1.768 8.622
```

As for the crystal system: trigonal. As for the raw total energy: -7.98 eV per atom. The calculation puts the formation energy at 0.31 eV/atom.



[3]
Material: TaMnHg
Method: DFT, GGA-PBE
State: relaxed Values from VASP.

Cell and atoms, written as Quantum ESPRESSO input:
```
&SYSTEM
  ibrav = 0, nat = 3, ntyp = 3
/
ATOMIC_SPECIES
Ta 180.95 Ta.upf
Mn 54.94 Mn.upf
Hg 200.59 Hg.upf
ATOMIC_POSITIONS crystal
Ta 0.000 0.000 0.000
Mn 0.650 0.650 0.000
Hg 0.318 0.318 0.000
CELL_PARAMETERS angstrom
-1.445 1.445 6.366
1.445 -1.445 6.366
1.445 1.445 -6.366
```

As for the crystal system: tetragonal. The calculation puts the energy above the most stable polymorph in this dataset at 25 meV per atom. As for the raw total energy: -6.80 eV per atom. The calculation puts the formation energy at 0.31 eV/atom.